Entry from the Alexandria database: Mn2NbOs after structural relaxation (PBE).

Lattice parameters (Å, degrees): 4.2466 4.2466 3.1231 90.00 90.00 90.00
Last column: nearest neighbours and their distance in Å.
Space group P4/mmm (No. 123)
Unique sites:
Mn 0.0000 0.5000 0.0000 (multiplicity 2)  4 Os 2.64, 4 Nb 2.64
Nb 0.0000 0.0000 0.5000 (multiplicity 1)  8 Mn 2.64
Os 0.5000 0.5000 0.5000 (multiplicity 1)  8 Mn 2.64

Total magnetic moment in μB per cell: 4.02
Formation enthalpy at 0 K in eV/atom: 0.024
N(E_F) in states/eV per atom: 1.14
Distance to the lowest polymorph of the same formula in eV per atom: 0.046
E_tot in eV per cell: -39.54